Compound: AlTlOs2
Source: the Alexandria database
Functional: PBEsol
Structure: optimized geometry

Structure (CIF):
```
data_AlTlOs2
_chemical_formula_sum 'Al1 Tl1 Os2'
_symmetry_space_group_name_H-M 'P 1'
_symmetry_Int_Tables_number 1
_symmetry_space_group_name_Hall 'P 1'
_cell_length_a 5.252
_cell_length_b 5.252
_cell_length_c 2.879
_cell_angle_alpha 104.89
_cell_angle_beta 104.89
_cell_angle_gamma 113.89
loop_
_atom_site_label
_atom_site_fract_x
_atom_site_fract_y
_atom_site_fract_z
Al1 0.000 0.000 0.000
Tl1 0.500 0.500 0.000
Os1 0.000 0.500 0.500
Os2 0.500 0.000 0.500
```

Computed properties:
Energy of formation   670 meV/atom

---

Compound: InMo2Br
Source: the Alexandria database
Functional: PBEsol
Structure: optimized geometry

Structure (CIF):
```
data_InMo2Br
_chemical_formula_sum 'In1 Mo2 Br1'
_symmetry_space_group_name_H-M 'P 1'
_symmetry_Int_Tables_number 1
_symmetry_space_group_name_Hall 'P 1'
_cell_length_a 2.922
_cell_length_b 4.570
_cell_length_c 5.643
_cell_angle_alpha 90.00
_cell_angle_beta 103.53
_cell_angle_gamma 90.00
loop_
_atom_site_label
_atom_site_fract_x
_atom_site_fract_y
_atom_site_fract_z
In1 0.000 0.000 0.000
Mo1 0.288 0.000 0.499
Mo2 0.663 0.500 0.301
Br1 0.332 0.500 0.680
```

Computed properties:
Uncorrected formation energy   0.5897 eV/atom

---

Compound: TiV3Sn2P6O24
Source: the Alexandria database
Functional: PBEsol
Structure: optimized geometry

Structure (CIF):
```
data_TiV3Sn2P6O24
_chemical_formula_sum 'Ti1 V3 Sn2 P6 O24'
_symmetry_space_group_name_H-M 'P 1'
_symmetry_Int_Tables_number 1
_symmetry_space_group_name_Hall 'P 1'
_cell_length_a 8.943
_cell_length_b 8.943
_cell_length_c 8.943
_cell_angle_alpha 56.72
_cell_angle_beta 56.72
_cell_angle_gamma 56.72
loop_
_atom_site_label
_atom_site_fract_x
_atom_site_fract_y
_atom_site_fract_z
Ti1 0.000 0.000 0.000
V1 0.205 0.205 0.205
V2 0.500 0.500 0.500
V3 0.704 0.704 0.704
Sn1 0.348 0.348 0.348
Sn2 0.843 0.843 0.843
P1 0.104 0.391 0.819
P2 0.319 0.889 0.602
P3 0.391 0.819 0.104
P4 0.602 0.319 0.889
P5 0.819 0.104 0.391
P6 0.889 0.602 0.319
O1 0.068 0.225 0.851
O2 0.073 0.424 0.294
O3 0.125 0.367 0.990
O4 0.137 0.923 0.777
O5 0.225 0.851 0.068
O6 0.283 0.411 0.638
O7 0.294 0.073 0.424
O8 0.343 0.719 0.579
O9 0.367 0.990 0.125
O10 0.411 0.638 0.283
O11 0.424 0.294 0.073
O12 0.490 0.863 0.627
O13 0.578 0.787 0.929
O14 0.579 0.343 0.719
O15 0.627 0.490 0.863
O16 0.638 0.283 0.411
O17 0.719 0.579 0.343
O18 0.777 0.137 0.923
O19 0.787 0.929 0.578
O20 0.851 0.068 0.225
O21 0.863 0.627 0.490
O22 0.923 0.777 0.137
O23 0.929 0.578 0.787
O24 0.990 0.125 0.367
```

Computed properties:
Uncorrected formation energy   -2.2332 eV/atom

---

Compound: LaAl4Br
Source: the Alexandria database
Functional: PBEsol
Structure: optimized geometry

Structure (CIF):
```
data_LaAl4Br
_chemical_formula_sum 'La1 Al4 Br1'
_symmetry_space_group_name_H-M 'P 1'
_symmetry_Int_Tables_number 1
_symmetry_space_group_name_Hall 'P 1'
_cell_length_a 5.673
_cell_length_b 5.673
_cell_length_c 5.673
_cell_angle_alpha 60.00
_cell_angle_beta 60.00
_cell_angle_gamma 60.00
loop_
_atom_site_label
_atom_site_fract_x
_atom_site_fract_y
_atom_site_fract_z
La1 0.000 0.000 0.000
Al1 0.118 0.627 0.627
Al2 0.627 0.118 0.627
Al3 0.627 0.627 0.118
Al4 0.627 0.627 0.627
Br1 0.250 0.250 0.250
```

Computed properties:
Uncorrected formation energy   -0.2141 eV/atom

---

Compound: Nd4GaSbS9
Source: the Alexandria database
Functional: PBEsol
Structure: optimized geometry

Structure (CIF):
```
data_Nd4GaSbS9
_chemical_formula_sum 'Nd16 Ga4 Sb4 S36'
_symmetry_space_group_name_H-M 'P 1'
_symmetry_Int_Tables_number 1
_symmetry_space_group_name_Hall 'P 1'
_cell_length_a 13.668
_cell_length_b 9.988
_cell_length_c 9.988
_cell_angle_alpha 88.65
_cell_angle_beta 90.00
_cell_angle_gamma 90.00
loop_
_atom_site_label
_atom_site_fract_x
_atom_site_fract_y
_atom_site_fract_z
Nd1 0.102 0.175 0.825
Nd2 0.104 0.663 0.442
Nd3 0.180 0.448 0.116
Nd4 0.183 0.901 0.118
Nd5 0.317 0.401 0.618
Nd6 0.320 0.948 0.616
Nd7 0.396 0.163 0.942
Nd8 0.398 0.675 0.325
Nd9 0.602 0.325 0.675
Nd10 0.604 0.942 0.163
Nd11 0.680 0.616 0.948
Nd12 0.683 0.618 0.401
Nd13 0.817 0.118 0.901
Nd14 0.820 0.116 0.448
Nd15 0.896 0.442 0.663
Nd16 0.898 0.825 0.175
Ga1 0.094 0.167 0.376
Ga2 0.406 0.667 0.876
Ga3 0.594 0.876 0.667
Ga4 0.906 0.376 0.167
Sb1 0.112 0.654 0.820
Sb2 0.388 0.154 0.320
Sb3 0.612 0.320 0.154
Sb4 0.888 0.820 0.654
S1 0.000 0.360 0.360
S2 0.000 0.995 0.995
S3 0.003 0.374 0.980
S4 0.067 0.675 0.171
S5 0.081 0.842 0.659
S6 0.101 0.471 0.657
S7 0.191 0.171 0.562
S8 0.201 0.173 0.198
S9 0.245 0.853 0.382
S10 0.248 0.987 0.871
S11 0.252 0.487 0.371
S12 0.255 0.353 0.882
S13 0.299 0.673 0.698
S14 0.309 0.671 0.062
S15 0.399 0.971 0.157
S16 0.419 0.342 0.159
S17 0.433 0.175 0.671
S18 0.497 0.874 0.480
S19 0.500 0.495 0.495
S20 0.500 0.860 0.860
S21 0.503 0.480 0.874
S22 0.567 0.671 0.175
S23 0.581 0.159 0.342
S24 0.601 0.157 0.971
S25 0.691 0.062 0.671
S26 0.701 0.698 0.673
S27 0.745 0.882 0.353
S28 0.748 0.371 0.487
S29 0.752 0.871 0.987
S30 0.755 0.382 0.853
S31 0.799 0.198 0.173
S32 0.809 0.562 0.171
S33 0.899 0.657 0.471
S34 0.919 0.659 0.842
S35 0.933 0.171 0.675
S36 0.997 0.980 0.374
```

Computed properties:
Uncorrected formation energy   -1.5852 eV/atom

---

Compound: Ba2NiW2
Source: the Alexandria database
Functional: PBEsol
Structure: optimized geometry

Structure (CIF):
```
data_Ba2NiW2
_chemical_formula_sum 'Ba2 Ni1 W2'
_symmetry_space_group_name_H-M 'P 1'
_symmetry_Int_Tables_number 1
_symmetry_space_group_name_Hall 'P 1'
_cell_length_a 10.308
_cell_length_b 10.308
_cell_length_c 10.308
_cell_angle_alpha 159.91
_cell_angle_beta 159.91
_cell_angle_gamma 28.56
loop_
_atom_site_label
_atom_site_fract_x
_atom_site_fract_y
_atom_site_fract_z
Ba1 0.093 0.093 0.000
Ba2 0.907 0.907 0.000
Ni1 0.500 0.500 0.000
W1 0.250 0.750 0.500
W2 0.750 0.250 0.500
```

Computed properties:
Energy of formation   917 meV/atom

---

Compound: KTcSb2
Source: the Alexandria database
Functional: PBEsol
Structure: optimized geometry

Structure (CIF):
```
data_KTcSb2
_chemical_formula_sum 'K1 Tc1 Sb2'
_symmetry_space_group_name_H-M 'P 1'
_symmetry_Int_Tables_number 1
_symmetry_space_group_name_Hall 'P 1'
_cell_length_a 5.351
_cell_length_b 5.351
_cell_length_c 3.252
_cell_angle_alpha 94.91
_cell_angle_beta 94.91
_cell_angle_gamma 106.04
loop_
_atom_site_label
_atom_site_fract_x
_atom_site_fract_y
_atom_site_fract_z
K1 0.000 0.000 0.000
Tc1 0.500 0.500 0.000
Sb1 0.000 0.500 0.500
Sb2 0.500 0.000 0.500
```

Computed properties:
Uncorrected formation energy   0.6644 eV/atom

---

Compound: Sb3TeClO6
Source: the Alexandria database
Functional: PBEsol
Structure: optimized geometry

Structure (CIF):
```
data_Sb3TeClO6
_chemical_formula_sum 'Sb3 Te1 Cl1 O6'
_symmetry_space_group_name_H-M 'P 1'
_symmetry_Int_Tables_number 1
_symmetry_space_group_name_Hall 'P 1'
_cell_length_a 7.895
_cell_length_b 7.895
_cell_length_c 9.556
_cell_angle_alpha 122.63
_cell_angle_beta 122.63
_cell_angle_gamma 30.06
loop_
_atom_site_label
_atom_site_fract_x
_atom_site_fract_y
_atom_site_fract_z
Sb1 0.000 0.000 0.000
Sb2 0.001 0.001 0.636
Sb3 0.688 0.688 0.295
Te1 0.686 0.686 0.659
Cl1 0.341 0.341 0.648
O1 0.071 0.071 0.879
O2 0.138 0.138 0.231
O3 0.146 0.146 0.659
O4 0.549 0.549 0.070
O5 0.556 0.556 0.649
O6 0.617 0.617 0.423
```

Computed properties:
Uncorrected formation energy   -1.2103 eV/atom

---

Compound: MgCdHg2
Source: the Alexandria database
Functional: PBEsol
Structure: optimized geometry

Structure (CIF):
```
data_MgCdHg2
_chemical_formula_sum 'Mg1 Cd1 Hg2'
_symmetry_space_group_name_H-M 'P 1'
_symmetry_Int_Tables_number 1
_symmetry_space_group_name_Hall 'P 1'
_cell_length_a 4.959
_cell_length_b 4.959
_cell_length_c 4.959
_cell_angle_alpha 60.00
_cell_angle_beta 60.00
_cell_angle_gamma 60.00
loop_
_atom_site_label
_atom_site_fract_x
_atom_site_fract_y
_atom_site_fract_z
Mg1 0.000 0.000 0.000
Cd1 0.250 0.250 0.250
Hg1 0.500 0.500 0.500
Hg2 0.750 0.750 0.750
```

Computed properties:
Energy of formation   -66 meV/atom

---

Compound: Mn2FeOs
Source: the Alexandria database
Functional: PBEsol
Structure: optimized geometry

Structure (CIF):
```
data_Mn2FeOs
_chemical_formula_sum 'Mn2 Fe1 Os1'
_symmetry_space_group_name_H-M 'P 1'
_symmetry_Int_Tables_number 1
_symmetry_space_group_name_Hall 'P 1'
_cell_length_a 2.557
_cell_length_b 3.550
_cell_length_c 5.060
_cell_angle_alpha 90.00
_cell_angle_beta 90.00
_cell_angle_gamma 90.00
loop_
_atom_site_label
_atom_site_fract_x
_atom_site_fract_y
_atom_site_fract_z
Mn1 0.000 0.000 0.000
Mn2 0.500 0.500 0.240
Fe1 0.500 0.500 0.758
Os1 0.000 0.000 0.504
```

Computed properties:
Energy of formation   77 meV/atom

---

Compound: Cs2VCl6
Source: the Alexandria database
Functional: PBEsol
Structure: optimized geometry

Structure (CIF):
```
data_Cs2VCl6
_chemical_formula_sum 'Cs2 V1 Cl6'
_symmetry_space_group_name_H-M 'P 1'
_symmetry_Int_Tables_number 1
_symmetry_space_group_name_Hall 'P 1'
_cell_length_a 7.151
_cell_length_b 7.151
_cell_length_c 7.151
_cell_angle_alpha 60.00
_cell_angle_beta 60.00
_cell_angle_gamma 60.00
loop_
_atom_site_label
_atom_site_fract_x
_atom_site_fract_y
_atom_site_fract_z
Cs1 0.250 0.250 0.250
Cs2 0.750 0.750 0.750
V1 0.000 0.000 0.000
Cl1 0.228 0.228 0.772
Cl2 0.228 0.772 0.228
Cl3 0.228 0.772 0.772
Cl4 0.772 0.228 0.228
Cl5 0.772 0.228 0.772
Cl6 0.772 0.772 0.228
```

Computed properties:
Uncorrected formation energy   -1.5945 eV/atom

---

Compound: Y2Tc
Source: the Alexandria database
Functional: PBEsol
Structure: optimized geometry

Structure (CIF):
```
data_Y2Tc
_chemical_formula_sum 'Y2 Tc1'
_symmetry_space_group_name_H-M 'P 1'
_symmetry_Int_Tables_number 1
_symmetry_space_group_name_Hall 'P 1'
_cell_length_a 4.684
_cell_length_b 4.684
_cell_length_c 3.501
_cell_angle_alpha 90.00
_cell_angle_beta 90.00
_cell_angle_gamma 120.00
loop_
_atom_site_label
_atom_site_fract_x
_atom_site_fract_y
_atom_site_fract_z
Y1 0.333 0.667 0.269
Y2 0.667 0.333 0.731
Tc1 0.000 0.000 0.000
```

Computed properties:
Energy of formation   190 meV/atom